No. 1
LaSbP2Rh5: optimized geometry, PBE.

Cell: 4.0659 4.0659 10.1976 Å, 90.00 90.00 90.00°
Element x y z (fractional)
La  0.0000  0.0000  0.5000
Sb  0.0000  0.0000  0.0000
P  0.5000  0.5000  0.2761
P  0.5000  0.5000  0.7239
Rh  0.0000  0.5000  0.1712
Rh  0.5000  0.0000  0.1712
Rh  0.0000  0.5000  0.8288
Rh  0.5000  0.0000  0.8288
Rh  0.5000  0.5000  0.5000

Calculated density: 8.246 g cm⁻³
Calculated total energy: -7.07 eV per atom

=====

No. 2
Ac2PdSeO6: optimized geometry, PBE.

Cell: 4.3335 5.8472 5.8472 Å, 90.00 90.00 90.00°
Element x y z (fractional)
Ac  0.0541  0.5000  0.0000
Ac  0.0541  0.0000  0.5000
Pd  0.6293  0.5000  0.5000
Se  0.6285  0.0000  0.0000
O  0.6829  0.2372  0.2372
O  0.6829  0.2372  0.7628
O  0.1307  0.5000  0.5000
O  0.2182  0.0000  0.0000
O  0.6829  0.7628  0.7628
O  0.6829  0.7628  0.2372

Calculated density: 8.242 g cm⁻³
Calculated total energy: -6.48 eV per atom

=====

Formation energy from raw total energies list, top to bottom, in meV per atom: -780.2, -1817.2